[1]
Material: HoPaPd4
Method: DFT, PBE-GGA
State: optimized geometry

abc: 5.434 5.434 5.434
angles: 60.00 60.00 60.00
Fractional positions:
Ho (0.000, 0.000, 0.000)
Pa (0.750, 0.750, 0.750)
Pd (0.375, 0.375, 0.375)
Pd (0.375, 0.375, 0.875)
Pd (0.375, 0.875, 0.375)
Pd (0.875, 0.375, 0.375)

Polymorph energy (0 for the lowest one)   161 meV per atom
Formation enthalpy at 0 K   -0.6147 eV/atom

=====

[2]
Material: SrZn2Ni
Method: DFT, PBE-GGA
State: optimized geometry

abc: 4.037 7.464 5.819
angles: 90.00 110.25 90.00
Fractional positions:
Sr (0.045, 0.250, 0.092)
Sr (0.955, 0.750, 0.908)
Zn (0.319, 0.064, 0.637)
Zn (0.319, 0.436, 0.637)
Zn (0.681, 0.564, 0.363)
Zn (0.681, 0.936, 0.363)
Ni (0.231, 0.750, 0.464)
Ni (0.769, 0.250, 0.536)

Formation enthalpy at 0 K   -0.2347 eV/atom

=====

[3]
Material: La5Dy6Ho2
Method: DFT, PBE-GGA
State: optimized geometry

abc: 11.703 20.782 3.633
angles: 90.00 90.00 90.00
Fractional positions:
La (0.000, 0.000, 0.000)
La (0.079, 0.272, 0.000)
La (0.199, 0.550, 0.000)
La (0.301, 0.050, 0.000)
La (0.421, 0.772, 0.000)
La (0.500, 0.500, 0.000)
La (0.579, 0.228, 0.000)
La (0.699, 0.950, 0.000)
La (0.801, 0.450, 0.000)
La (0.921, 0.728, 0.000)
Dy (0.063, 0.419, 0.500)
Dy (0.079, 0.132, 0.500)
Dy (0.176, 0.860, 0.000)
Dy (0.324, 0.360, 0.000)
Dy (0.421, 0.632, 0.500)
Dy (0.437, 0.919, 0.500)
Dy (0.563, 0.081, 0.500)
Dy (0.579, 0.368, 0.500)
Dy (0.676, 0.640, 0.000)
Dy (0.824, 0.140, 0.000)
Dy (0.921, 0.868, 0.500)
Dy (0.937, 0.581, 0.500)
Ho (0.174, 0.711, 0.500)
Ho (0.326, 0.211, 0.500)
Ho (0.674, 0.789, 0.500)
Ho (0.826, 0.289, 0.500)

Formation enthalpy at 0 K   0.0939 eV/atom

=====

[4]
Material: CsCa3C
Method: DFT, PBE-GGA
State: optimized geometry

abc: 5.730 5.730 5.730
angles: 90.00 90.00 90.00
Fractional positions:
Cs (0.000, 0.000, 0.000)
Ca (0.000, 0.000, 0.500)
Ca (0.000, 0.500, 0.000)
Ca (0.500, 0.000, 0.000)
C (0.500, 0.500, 0.500)

Polymorph energy (0 for the lowest one)   1910 meV per atom
Formation enthalpy at 0 K   2.4022 eV/atom